## ZrHSeO2 (PBE-GGA)

Data for ZrHSeO2 after structural relaxation.

## Properties
**Symmetry**: No. 123
**DFT total energy**: -5.35 eV per atom
**Density**: 5.58 Mg/m³

Cell: 4.324 4.324 3.231 Å, 90.00 90.00 90.00°
Sites, in units of the cell vectors:
Zr: 0.000 0.000 0.000
H: 0.500 0.500 0.000
Se: 0.500 0.500 0.500
O: 0.000 0.500 0.500
O: 0.500 0.000 0.500



## SiH2O (PBE-GGA)

Data for SiH2O after structural relaxation.

## Properties
**Energy above the most stable polymorph in this dataset**: 0 meV per atom
**Symmetry**: No. 5
**DFT total energy**: -5.22 eV per atom
**Density**: 1.15 Mg/m³

Cell: 5.486 5.486 2.808 Å, 104.66 104.66 116.06°
Sites, in units of the cell vectors:
Si: 0.000 0.000 0.000
H: 0.151 0.331 0.238
H: 0.669 0.849 0.762
O: 0.096 0.904 0.500



no.,volume (Å³/atom),magnetization (μB per formula unit)
1,12.084,0.89
2,16.672,0.00